Here is a geometry-optimized Tm3Nb5N12 structure from Alexandria via LeMat-Bulk. Energies are from PBE-GGA.

Cell: 11.1546 11.1546 11.1546 Å, 109.47 109.47 109.47°
Last column: nearest neighbours and their distance in Å.
Sites, in units of the cell vectors:
Tm 0.1250 0.2500 0.3750  8 N 2.47-2.51
Tm 0.1250 0.3750 0.7500  8 N 2.47-2.51
Tm 0.2500 0.3750 0.1250  8 N 2.47-2.51
Tm 0.2500 0.8750 0.6250  8 N 2.47-2.51
Tm 0.3750 0.1250 0.2500  8 N 2.47-2.51
Tm 0.3750 0.7500 0.1250  8 N 2.47-2.51
Tm 0.6250 0.2500 0.8750  8 N 2.47-2.51
Tm 0.6250 0.8750 0.7500  8 N 2.47-2.51
Tm 0.7500 0.1250 0.3750  8 N 2.47-2.51
Tm 0.7500 0.6250 0.8750  8 N 2.47-2.51
Tm 0.8750 0.6250 0.2500  8 N 2.47-2.51
Tm 0.8750 0.7500 0.6250  8 N 2.47-2.51
Nb 0.0000 0.0000 0.0000  6 N 2.11
Nb 0.0000 0.0000 0.5000  6 N 2.11
Nb 0.0000 0.5000 0.0000  6 N 2.11
Nb 0.0000 0.5000 0.5000  6 N 2.11
Nb 0.1250 0.7500 0.8750  4 N 1.94
Nb 0.1250 0.8750 0.2500  4 N 1.94
Nb 0.2500 0.1250 0.8750  4 N 1.94
Nb 0.2500 0.6250 0.3750  4 N 1.94
Nb 0.3750 0.2500 0.6250  4 N 1.94
Nb 0.3750 0.6250 0.7500  4 N 1.94
Nb 0.5000 0.0000 0.0000  6 N 2.11
Nb 0.5000 0.0000 0.5000  6 N 2.11
Nb 0.5000 0.5000 0.0000  6 N 2.11
Nb 0.5000 0.5000 0.5000  6 N 2.11
Nb 0.6250 0.3750 0.2500  4 N 1.94
Nb 0.6250 0.7500 0.3750  4 N 1.94
Nb 0.7500 0.3750 0.6250  4 N 1.94
Nb 0.7500 0.8750 0.1250  4 N 1.94
Nb 0.8750 0.1250 0.7500  4 N 1.94
Nb 0.8750 0.2500 0.1250  4 N 1.94
N 0.0305 0.2087 0.1222  2 Nb 1.94-2.11
N 0.0305 0.3218 0.9083  2 Nb 1.94-2.11
N 0.0865 0.7087 0.6782  2 Nb 1.94-2.11
N 0.0865 0.8778 0.4083  2 Nb 1.94-2.11
N 0.0917 0.6222 0.4135  2 Nb 1.94-2.11
N 0.0917 0.9695 0.6782  2 Nb 1.94-2.11
N 0.1222 0.0305 0.2087  2 Nb 1.94-2.11
N 0.1222 0.5917 0.9135  2 Nb 1.94-2.11
N 0.1782 0.2087 0.5865  2 Nb 1.94-2.11
N 0.1782 0.4695 0.5917  2 Nb 1.94-2.11
N 0.2087 0.1222 0.0305  2 Nb 1.94-2.11
N 0.2087 0.5865 0.1782  2 Nb 1.94-2.11
N 0.2913 0.3218 0.9135  2 Nb 1.94-2.11
N 0.2913 0.4695 0.3778  2 Nb 1.94-2.11
N 0.3218 0.9083 0.0305  2 Nb 1.94-2.11
N 0.3218 0.9135 0.2913  2 Nb 1.94-2.11
N 0.3778 0.2913 0.4695  2 Nb 1.94-2.11
N 0.3778 0.5865 0.9083  2 Nb 1.94-2.11
N 0.4083 0.0865 0.8778  2 Nb 1.94-2.11
N 0.4083 0.8218 0.5305  2 Nb 1.94-2.11
N 0.4135 0.0917 0.6222  2 Nb 1.94-2.11
N 0.4135 0.8218 0.7913  2 Nb 1.94-2.11
N 0.4695 0.3778 0.2913  2 Nb 1.94-2.11
N 0.4695 0.5917 0.1782  2 Nb 1.94-2.11
N 0.5305 0.4083 0.8218  2 Nb 1.94-2.11
N 0.5305 0.6222 0.7087  2 Nb 1.94-2.11
N 0.5865 0.1782 0.2087  2 Nb 1.94-2.11
N 0.5865 0.9083 0.3778  2 Nb 1.94-2.11
N 0.5917 0.1782 0.4695  2 Nb 1.94-2.11
N 0.5917 0.9135 0.1222  2 Nb 1.94-2.11
N 0.6222 0.4135 0.0917  2 Nb 1.94-2.11
N 0.6222 0.7087 0.5305  2 Nb 1.94-2.11
N 0.6782 0.0865 0.7087  2 Nb 1.94-2.11
N 0.6782 0.0917 0.9695  2 Nb 1.94-2.11
N 0.7087 0.5305 0.6222  2 Nb 1.94-2.11
N 0.7087 0.6782 0.0865  2 Nb 1.94-2.11
N 0.7913 0.4135 0.8218  2 Nb 1.94-2.11
N 0.7913 0.8778 0.9695  2 Nb 1.94-2.11
N 0.8218 0.5305 0.4083  2 Nb 1.94-2.11
N 0.8218 0.7913 0.4135  2 Nb 1.94-2.11
N 0.8778 0.4083 0.0865  2 Nb 1.94-2.11
N 0.8778 0.9695 0.7913  2 Nb 1.94-2.11
N 0.9083 0.0305 0.3218  2 Nb 1.94-2.11
N 0.9083 0.3778 0.5865  2 Nb 1.94-2.11
N 0.9135 0.1222 0.5917  2 Nb 1.94-2.11
N 0.9135 0.2913 0.3218  2 Nb 1.94-2.11
N 0.9695 0.6782 0.0917  2 Nb 1.94-2.11
N 0.9695 0.7913 0.8778  2 Nb 1.94-2.11

Results
**Raw formation energy**: -21.064 kcal/mol of atoms
**Calculated volume**: 13.36 Å³/atom
**Total moment**: 0.0007 μB/atom